# 1
Hf3V4P4 (PBE, relaxed); magnetic moment = 0.00 μB per formula unit; energy relative to the elements = -0.97 eV per atom; uncorrected energy = -8.968 eV/atom
1.0
-1.727 3.650 6.498
1.727 -3.650 6.498
1.727 3.650 -6.498
Hf V P
3 4 4
Cartesian
0.000 0.000 0.000
1.727 0.000 5.002
0.000 3.650 1.497
1.727 1.439 -2.290
1.727 1.439 2.290
0.000 2.212 4.208
0.000 2.212 8.789
0.000 0.000 3.012
1.727 2.143 0.000
0.000 1.507 6.498
0.000 0.000 9.985



# 2
ZrSiCl3 (PBE, relaxed); magnetic moment = 2.94 μB per formula unit; relative energy among the computed polymorphs = 539 meV/atom; raw formation energy = 73 kJ/mol of formula units; uncorrected energy = -3.750 eV/atom
1.0
4.997 0.000 0.000
0.000 4.997 0.000
0.000 0.000 4.997
Zr Si Cl
1 1 3
Cartesian
0.000 0.000 0.000
2.499 2.499 2.499
0.000 2.499 2.499
2.499 0.000 2.499
2.499 2.499 0.000



# 3
Co2TcCl (PBE, relaxed); magnetic moment = 4.29 μB per formula unit; relative energy among the computed polymorphs = 300 meV/atom; raw formation energy = 230 kJ/mol of formula units; uncorrected energy = -6.011 eV/atom
1.0
1.421 -2.400 0.000
1.421 2.400 0.000
0.000 0.000 8.154
Co Tc Cl
2 1 1
Cartesian
0.000 0.000 0.000
1.421 0.000 1.884
0.000 0.000 3.960
1.421 0.000 6.110



# 4
GdLuPb2 (PBE, relaxed); magnetic moment = 7.81 μB per formula unit; relative energy among the computed polymorphs = 19 meV/atom; energy relative to the elements = -0.39 eV per atom; uncorrected energy = -6.896 eV/atom
1.0
4.035 0.000 0.000
0.000 4.035 0.000
0.000 0.000 6.909
Gd Lu Pb
1 1 2
Cartesian
0.000 0.000 0.000
0.000 0.000 3.454
2.017 2.017 1.788
2.017 2.017 5.121



Which of these has the lowest magnetic moment?
Hf3V4P4